Record 1
# K2RbTl PBE optimized geometry
data_K2RbTl
_symmetry_space_group_name_H-M 'I -4 2 d'
_symmetry_Int_Tables_number 122
_symmetry_space_group_name_Hall 'I -4 2bw'
_cell_length_a 5.697
_cell_length_b 5.697
_cell_length_c 27.751
_cell_angle_alpha 90.00
_cell_angle_beta 90.00
_cell_angle_gamma 90.00
loop_
_atom_site_label
_atom_site_type_symbol
_atom_site_fract_x
_atom_site_fract_y
_atom_site_fract_z
K1 K 0.223 0.250 0.125
Rb1 Rb 0.000 0.000 0.500
Tl1 Tl 0.000 0.000 0.000
# Raw total energy ... -1.285 eV/atom
# DFT formation energy ... 97 meV/atom
# Density of states at the Fermi level ... 0.70 states/eV/atom
# Total magnetic moment ... 0.00 Bohr magnetons per cell


Record 2
# VNi2H PBE optimized geometry
data_VNi2H
_symmetry_space_group_name_H-M 'R -3 m'
_symmetry_Int_Tables_number 166
_symmetry_space_group_name_Hall '-R 3 2"'
_cell_length_a 2.5504
_cell_length_b 2.5504
_cell_length_c 21.8049
_cell_angle_alpha 90.00
_cell_angle_beta 90.00
_cell_angle_gamma 120.00
loop_
_atom_site_label
_atom_site_type_symbol
_atom_site_fract_x
_atom_site_fract_y
_atom_site_fract_z
V1 V 0.0000 0.0000 0.0000
Ni1 Ni 0.0000 0.0000 0.4281
H1 H 0.0000 0.0000 0.5000
# Raw total energy ... -5.863 eV/atom
# Density of states at the Fermi level ... 0.88 states/eV/atom
# Total magnetic moment ... 0.00 Bohr magnetons per cell


Record 3
# FeCo2Tc PBE optimized geometry
data_FeCo2Tc
_symmetry_space_group_name_H-M 'F -4 3 m'
_symmetry_Int_Tables_number 216
_symmetry_space_group_name_Hall 'F -4 2 3'
_cell_length_a 5.773
_cell_length_b 5.773
_cell_length_c 5.773
_cell_angle_alpha 90.00
_cell_angle_beta 90.00
_cell_angle_gamma 90.00
loop_
_atom_site_label
_atom_site_type_symbol
_atom_site_fract_x
_atom_site_fract_y
_atom_site_fract_z
Fe1 Fe 0.000 0.000 0.000
Co1 Co 0.000 0.000 0.500
Co2 Co 0.250 0.250 0.750
Tc1 Tc 0.250 0.250 0.250
# Raw total energy ... -8.056 eV/atom
# DFT formation energy ... 204 meV/atom
# Density of states at the Fermi level ... 1.72 states/eV/atom
# Total magnetic moment ... 19.36 Bohr magnetons per cell


Record 4
# Tm2TlV PBE optimized geometry
data_Tm2TlV
_symmetry_space_group_name_H-M 'R -3 m'
_symmetry_Int_Tables_number 166
_symmetry_space_group_name_Hall '-R 3 2"'
_cell_length_a 3.3240
_cell_length_b 3.3240
_cell_length_c 32.7624
_cell_angle_alpha 90.00
_cell_angle_beta 90.00
_cell_angle_gamma 120.00
loop_
_atom_site_label
_atom_site_type_symbol
_atom_site_fract_x
_atom_site_fract_y
_atom_site_fract_z
Tm1 Tm 0.0000 0.0000 0.0856
Tl1 Tl 0.0000 0.0000 0.5000
V1 V 0.0000 0.0000 0.0000
# Raw total energy ... -4.582 eV/atom
# DFT formation energy ... 525 meV/atom
# Density of states at the Fermi level ... 1.27 states/eV/atom
# Total magnetic moment ... 9.04 Bohr magnetons per cell


Record 5
# TiVRe2Rh PBE optimized geometry
data_TiVRe2Rh
_symmetry_space_group_name_H-M 'P 4/m m m'
_symmetry_Int_Tables_number 123
_symmetry_space_group_name_Hall '-P 4 2'
_cell_length_a 4.681
_cell_length_b 4.681
_cell_length_c 4.456
_cell_angle_alpha 90.00
_cell_angle_beta 90.00
_cell_angle_gamma 90.00
loop_
_atom_site_label
_atom_site_type_symbol
_atom_site_fract_x
_atom_site_fract_y
_atom_site_fract_z
Ti1 Ti 0.000 0.000 0.000
V1 V 0.500 0.500 0.000
Re1 Re 0.000 0.500 0.500
Rh1 Rh 0.000 0.000 0.500
# Raw total energy ... -8.163 eV/atom
# DFT formation energy ... 1689 meV/atom
# Density of states at the Fermi level ... 1.60 states/eV/atom
# Total magnetic moment ... 0.02 Bohr magnetons per cell


Record 6
# GeHCl3 PBE optimized geometry
data_GeHCl3
_symmetry_space_group_name_H-M 'P m -3 m'
_symmetry_Int_Tables_number 221
_symmetry_space_group_name_Hall '-P 4 2 3'
_cell_length_a 4.921
_cell_length_b 4.921
_cell_length_c 4.921
_cell_angle_alpha 90.00
_cell_angle_beta 90.00
_cell_angle_gamma 90.00
loop_
_atom_site_label
_atom_site_type_symbol
_atom_site_fract_x
_atom_site_fract_y
_atom_site_fract_z
Ge1 Ge 0.000 0.000 0.000
H1 H 0.500 0.500 0.500
Cl1 Cl 0.000 0.000 0.500
# Raw total energy ... -2.716 eV/atom
# Density of states at the Fermi level ... 0.34 states/eV/atom
# Total magnetic moment ... 0.88 Bohr magnetons per cell


What is the density of states at the Fermi level in the first record? 0.70 states/eV/atom


The lowest raw total energy belongs to which entry? TiVRe2Rh


density of states at the Fermi level of number 3 (FeCo2Tc)? 1.72 states/eV/atom


What is the raw total energy in the first record? -1.285 eV/atom